[1]
DFT (GGA-PBE) results for an optimized crystal structure of Th3PtRh5.

CIF file:
```
data_Th3PtRh5
_space_group_name_H-M_alt 'P 1'
_space_group_IT_number 1
_cell_length_a 5.8654
_cell_length_b 8.3223
_cell_length_c 8.3226
_cell_angle_alpha 120.00
_cell_angle_beta 90.00
_cell_angle_gamma 90.00
loop_
_space_group_symop_operation_xyz
'x,y,z'
loop_
_atom_site_label
_atom_site_fract_x
_atom_site_fract_y
_atom_site_fract_z
_atom_site_occupancy
Rh1 0.7500 0.6794 0.6793 1
Rh2 0.2500 0.0000 0.6793 1
Rh3 0.0000 0.6667 0.3334 1
Rh4 0.5000 0.3333 0.6666 1
Rh5 0.2500 0.3206 0.3207 1
Rh6 0.7500 0.3206 0.0000 1
Rh7 0.5000 0.6667 0.3334 1
Rh8 0.2500 0.6794 0.0000 1
Rh9 0.7500 0.0000 0.3207 1
Rh10 0.0000 0.3333 0.6666 1
Th1 0.2500 0.6562 0.6562 1
Th2 0.7500 0.6563 0.0000 1
Th3 0.7500 0.3438 0.3438 1
Th4 0.2500 0.0000 0.3438 1
Th5 0.7500 0.0000 0.6562 1
Th6 0.2500 0.3437 0.0000 1
Pt1 0.5000 0.0000 0.0000 1
Pt2 0.0000 0.0000 0.0000 1
```

Values from the calculation:
Energy of formation (meV/atom): -866
D(E_F) (states/eV per cell): 9.859
M_tot (μB per formula unit): 0.0
Crystal system: hexagonal
E (eV/atom): -8.0951

[2]
DFT (GGA-PBE) results for an optimized crystal structure of ThPt2Rh3.

CIF file:
```
data_ThPt2Rh3
_space_group_name_H-M_alt 'P 1'
_space_group_IT_number 1
_cell_length_a 5.7685
_cell_length_b 5.7685
_cell_length_c 7.8314
_cell_angle_alpha 68.39
_cell_angle_beta 68.39
_cell_angle_gamma 60.00
loop_
_space_group_symop_operation_xyz
'x,y,z'
loop_
_atom_site_label
_atom_site_fract_x
_atom_site_fract_y
_atom_site_fract_z
_atom_site_occupancy
Pt1 0.0000 0.0000 0.0000 1
Pt2 0.5000 0.5000 0.0000 1
Pt3 0.5000 0.0000 0.0000 1
Pt4 0.0000 0.5000 0.0000 1
Rh1 0.2808 0.7630 0.6755 1
Rh2 0.7630 0.2808 0.6755 1
Rh3 0.7192 0.7192 0.3245 1
Rh4 0.2808 0.2808 0.6755 1
Rh5 0.2370 0.7192 0.3245 1
Rh6 0.7192 0.2370 0.3245 1
Th1 0.7827 0.7827 0.6520 1
Th2 0.2173 0.2173 0.3480 1
```

Values from the calculation:
Energy of formation (meV/atom): -501
D(E_F) (states/eV per cell): 16.177
M_tot (μB per formula unit): 0.0
Crystal system: trigonal
E (eV/atom): -7.4274

[3]
DFT (GGA-PBE) results for an optimized crystal structure of ThPt3Rh2.

CIF file:
```
data_ThPt3Rh2
_space_group_name_H-M_alt 'P 1'
_space_group_IT_number 1
_cell_length_a 5.3422
_cell_length_b 6.4517
_cell_length_c 6.4517
_cell_angle_alpha 88.60
_cell_angle_beta 90.00
_cell_angle_gamma 90.00
loop_
_space_group_symop_operation_xyz
'x,y,z'
loop_
_atom_site_label
_atom_site_fract_x
_atom_site_fract_y
_atom_site_fract_z
_atom_site_occupancy
Pt1 0.7500 0.0808 0.5662 1
Pt2 0.7500 0.0075 0.9925 1
Pt3 0.7500 0.4338 0.9192 1
Pt4 0.2500 0.5662 0.0808 1
Pt5 0.2500 0.9192 0.4338 1
Pt6 0.2500 0.9925 0.0075 1
Rh1 0.0000 0.2544 0.2544 1
Rh2 0.0000 0.7456 0.7456 1
Rh3 0.5000 0.7456 0.7456 1
Rh4 0.5000 0.2544 0.2544 1
Th1 0.2500 0.3117 0.6883 1
Th2 0.7500 0.6883 0.3117 1
```

Values from the calculation:
Energy of formation (meV/atom): -544
D(E_F) (states/eV per cell): 11.751
M_tot (μB per formula unit): 0.0
Crystal system: orthorhombic
E (eV/atom): -7.2512

[4]
DFT (GGA-PBE) results for an optimized crystal structure of Th2PtRh.

CIF file:
```
data_Th2PtRh
_space_group_name_H-M_alt 'P 1'
_space_group_IT_number 1
_cell_length_a 4.4814
_cell_length_b 4.4814
_cell_length_c 5.8280
_cell_angle_alpha 90.00
_cell_angle_beta 90.00
_cell_angle_gamma 60.00
loop_
_space_group_symop_operation_xyz
'x,y,z'
loop_
_atom_site_label
_atom_site_fract_x
_atom_site_fract_y
_atom_site_fract_z
_atom_site_occupancy
Th1 0.3333 0.3333 0.7561 1
Th2 0.6667 0.6667 0.2439 1
Pt1 0.0000 0.0000 0.5000 1
Rh1 0.0000 0.0000 0.0000 1
```

Values from the calculation:
Energy of formation (meV/atom): -1014
D(E_F) (states/eV per cell): 2.635
M_tot (μB per formula unit): 0.0
Crystal system: trigonal
E (eV/atom): -8.0717

[5]
DFT (GGA-PBE) results for an optimized crystal structure of Th2Pt4Rh.

CIF file:
```
data_Th2Pt4Rh
_space_group_name_H-M_alt 'P 1'
_space_group_IT_number 1
_cell_length_a 5.7817
_cell_length_b 5.7817
_cell_length_c 5.9480
_cell_angle_alpha 119.03
_cell_angle_beta 119.03
_cell_angle_gamma 89.98
loop_
_space_group_symop_operation_xyz
'x,y,z'
loop_
_atom_site_label
_atom_site_fract_x
_atom_site_fract_y
_atom_site_fract_z
_atom_site_occupancy
Pt1 0.2856 0.2856 0.0712 1
Pt2 0.7857 0.2857 0.0714 1
Pt3 0.2857 0.7857 0.0714 1
Pt4 0.7859 0.7859 0.0717 1
Th1 0.7855 0.2858 0.5714 1
Th2 0.2858 0.7855 0.5714 1
Rh1 0.7858 0.7858 0.5715 1
```

Values from the calculation:
Energy of formation (meV/atom): -1061
D(E_F) (states/eV per cell): 1.898
M_tot (μB per formula unit): 0.0
Crystal system: monoclinic
E (eV/atom): -7.6829

[6]
DFT (GGA-PBE) results for an optimized crystal structure of Th3PtRh.

CIF file:
```
data_Th3PtRh
_space_group_name_H-M_alt 'P 1'
_space_group_IT_number 1
_cell_length_a 4.0747
_cell_length_b 10.2507
_cell_length_c 7.4541
_cell_angle_alpha 70.20
_cell_angle_beta 74.14
_cell_angle_gamma 78.54
loop_
_space_group_symop_operation_xyz
'x,y,z'
loop_
_atom_site_label
_atom_site_fract_x
_atom_site_fract_y
_atom_site_fract_z
_atom_site_occupancy
Th1 0.0289 0.1388 0.8034 1
Th2 0.2786 0.1347 0.3081 1
Th3 0.9711 0.8612 0.1966 1
Th4 0.7214 0.8653 0.6919 1
Th5 0.3756 0.4606 0.7882 1
Th6 0.6244 0.5394 0.2118 1
Rh1 0.8235 0.3044 0.0485 1
Rh2 0.1765 0.6956 0.9515 1
Pt1 0.6091 0.2616 0.5203 1
Pt2 0.3909 0.7384 0.4797 1
```

Values from the calculation:
Energy of formation (meV/atom): -711
D(E_F) (states/eV per cell): 10.601
M_tot (μB per formula unit): 0.0
Crystal system: monoclinic
E (eV/atom): -7.8416

Which of these has the lowest E? Th3PtRh5